# 1
The following is a PBE calculation of a relaxed CaTlHg2 crystal, from the Alexandria database.

Structure (POSCAR):
```
CaTlHg2
1.0
4.891 0.000 0.000
0.000 3.705 -0.021
0.000 1.549 6.131
Hg Ca Tl
2 1 1
Direct
0.500 0.084 0.262 Hg
0.000 0.180 0.978 Hg
0.500 0.763 0.799 Ca
0.000 0.473 0.460 Tl
```

Values from the calculation:
ρ (g/cm3): 9.6
Energy relative to the elements (meV per atom): -272
Volume (Å³ per cell): 111
D(E_F) (states/eV/f.u.): 1.709

***

# 2
The following is a PBE calculation of a relaxed CaTlHg crystal, from the Alexandria database.

Structure (POSCAR):
```
CaTlHg
1.0
3.903 0.000 0.000
-1.951 3.380 0.000
0.000 0.000 6.844
Hg Tl Ca
1 1 1
Direct
0.667 0.333 0.331 Hg
0.333 0.667 0.654 Tl
0.000 0.000 0.015 Ca
```

Values from the calculation:
ρ (g/cm3): 8.2
Energy relative to the elements (meV per atom): -249
Volume (Å³ per cell): 90
D(E_F) (states/eV/f.u.): 1.293

***

# 3
The following is a PBE calculation of a relaxed CaTl2Hg crystal, from the Alexandria database.

Structure (POSCAR):
```
CaTl2Hg
1.0
6.522 0.008 0.008
-3.215 5.675 0.008
0.932 1.602 3.195
Tl Ca Hg
2 1 1
Direct
0.000 0.000 0.000 Tl
0.500 0.500 0.000 Tl
0.500 0.000 0.500 Ca
0.000 0.500 0.500 Hg
```

Values from the calculation:
ρ (g/cm3): 9.1
Energy relative to the elements (meV per atom): -205
Volume (Å³ per cell): 118
D(E_F) (states/eV/f.u.): 1.804

***

# 4
The following is a PBE calculation of a relaxed Ca5Tl5Hg2 crystal, from the Alexandria database.

Structure (POSCAR):
```
Ca5Tl5Hg2
1.0
4.799 0.000 1.083
2.519 8.617 0.009
0.552 -1.127 8.729
Tl Ca Hg
5 5 2
Direct
0.000 0.000 0.000 Tl
0.699 0.231 0.371 Tl
0.301 0.769 0.629 Tl
0.019 0.736 0.227 Tl
0.981 0.264 0.773 Tl
0.347 0.980 0.325 Ca
0.692 0.689 0.927 Ca
0.653 0.020 0.675 Ca
0.000 0.500 0.500 Ca
0.308 0.311 0.073 Ca
0.608 0.539 0.246 Hg
0.392 0.461 0.754 Hg
```

Values from the calculation:
ρ (g/cm3): 7.6
Energy relative to the elements (meV per atom): -347
Volume (Å³ per cell): 353
D(E_F) (states/eV/f.u.): 6.915

***

# 5
The following is a PBE calculation of a relaxed CaTl2Hg crystal, from the Alexandria database.

Structure (POSCAR):
```
CaTl2Hg
1.0
10.243 0.117 0.069
9.524 3.773 0.069
9.524 1.874 3.275
Hg Tl Ca
1 2 1
Direct
0.750 0.750 0.750 Hg
0.004 0.004 0.004 Tl
0.496 0.496 0.496 Tl
0.250 0.250 0.250 Ca
```

Values from the calculation:
ρ (g/cm3): 9.0
Energy relative to the elements (meV per atom): -87
Volume (Å³ per cell): 120
D(E_F) (states/eV/f.u.): 2.718

***

# 6
The following is a PBE calculation of a relaxed Ca2Tl2Hg3 crystal, from the Alexandria database.

Structure (POSCAR):
```
Ca2Tl2Hg3
1.0
-6.592 4.667 -0.988
-0.878 -6.873 -4.266
0.893 -1.797 7.886
Hg Tl Ca
6 4 4
Direct
0.750 0.521 0.271 Hg
0.479 0.229 0.750 Hg
0.250 0.979 0.229 Hg
0.771 0.250 0.521 Hg
0.729 0.750 0.979 Hg
0.021 0.271 0.250 Hg
0.356 0.500 0.000 Tl
0.144 0.644 0.644 Tl
0.000 0.000 0.856 Tl
0.500 0.856 0.500 Tl
0.534 0.034 0.034 Ca
0.500 0.466 0.500 Ca
0.000 0.000 0.466 Ca
0.966 0.500 0.000 Ca
```

Values from the calculation:
ρ (g/cm3): 8.7
Energy relative to the elements (meV per atom): -241
Volume (Å³ per cell): 415
D(E_F) (states/eV/f.u.): 3.513

***

# 7
The following is a PBE calculation of a relaxed CaTlHg2 crystal, from the Alexandria database.

Structure (POSCAR):
```
CaTlHg2
1.0
-4.780 1.944 1.162
-4.329 -2.187 -2.110
-3.314 -2.775 3.048
Hg Ca Tl
2 1 1
Direct
0.250 0.250 0.250 Hg
0.000 0.000 0.000 Hg
0.500 0.500 0.500 Ca
0.750 0.750 0.750 Tl
```

Values from the calculation:
ρ (g/cm3): 10.2
Energy relative to the elements (meV per atom): -267
Volume (Å³ per cell): 105
D(E_F) (states/eV/f.u.): 3.219

***

# 8
The following is a PBE calculation of a relaxed Ca3TlHg6 crystal, from the Alexandria database.

Structure (POSCAR):
```
Ca3TlHg6
1.0
5.304 0.000 0.000
0.000 8.557 -3.177
0.000 -0.216 11.791
Hg Tl Ca
12 2 6
Direct
0.750 0.140 0.717 Hg
0.750 0.351 0.304 Hg
0.750 0.739 0.523 Hg
0.250 0.040 0.866 Hg
0.750 0.825 0.826 Hg
0.750 0.960 0.134 Hg
0.250 0.175 0.174 Hg
0.250 0.860 0.283 Hg
0.250 0.261 0.477 Hg
0.250 0.475 0.079 Hg
0.750 0.525 0.921 Hg
0.250 0.649 0.696 Hg
0.750 0.055 0.423 Tl
0.250 0.945 0.577 Tl
0.750 0.449 0.610 Ca
0.250 0.339 0.787 Ca
0.750 0.223 0.008 Ca
0.250 0.777 0.992 Ca
0.750 0.661 0.213 Ca
0.250 0.551 0.390 Ca
```

Values from the calculation:
ρ (g/cm3): 9.5
Energy relative to the elements (meV per atom): -377
Volume (Å³ per cell): 532
D(E_F) (states/eV/f.u.): 5.507

***

- Which formula does entry 6 have?
  Ca2Tl2Hg3

***

Copy entry 5 word for word.
The following is a PBE calculation of a relaxed CaTl2Hg crystal, from the Alexandria database.

Structure (POSCAR):
```
CaTl2Hg
1.0
10.243 0.117 0.069
9.524 3.773 0.069
9.524 1.874 3.275
Hg Tl Ca
1 2 1
Direct
0.750 0.750 0.750 Hg
0.004 0.004 0.004 Tl
0.496 0.496 0.496 Tl
0.250 0.250 0.250 Ca
```

Values from the calculation:
ρ (g/cm3): 9.0
Energy relative to the elements (meV per atom): -87
Volume (Å³ per cell): 120
D(E_F) (states/eV/f.u.): 2.718

***

What did the sixth record say?
The following is a PBE calculation of a relaxed Ca2Tl2Hg3 crystal, from the Alexandria database.

Structure (POSCAR):
```
Ca2Tl2Hg3
1.0
-6.592 4.667 -0.988
-0.878 -6.873 -4.266
0.893 -1.797 7.886
Hg Tl Ca
6 4 4
Direct
0.750 0.521 0.271 Hg
0.479 0.229 0.750 Hg
0.250 0.979 0.229 Hg
0.771 0.250 0.521 Hg
0.729 0.750 0.979 Hg
0.021 0.271 0.250 Hg
0.356 0.500 0.000 Tl
0.144 0.644 0.644 Tl
0.000 0.000 0.856 Tl
0.500 0.856 0.500 Tl
0.534 0.034 0.034 Ca
0.500 0.466 0.500 Ca
0.000 0.000 0.466 Ca
0.966 0.500 0.000 Ca
```

Values from the calculation:
ρ (g/cm3): 8.7
Energy relative to the elements (meV per atom): -241
Volume (Å³ per cell): 415
D(E_F) (states/eV/f.u.): 3.513